KGaSb2Te: relaxed, GGA-PBE.

Values from the calculation:
* raw formation energy: 0.087 eV per atom
* uncorrected energy: -3.01 eV/atom

abc: 5.3971 5.3971 5.8167
angles: 90.00 90.00 90.00
Last column: nearest neighbours and their distance in Å.
Fractional positions:
Sb  0.0000  0.5000  0.0000  2 Ga 2.70
Sb  0.5000  0.0000  0.0000  2 Ga 2.70
K  0.5000  0.5000  0.5000  4 Te 3.82, 8 Sb 3.97
Te  0.0000  0.0000  0.5000  2 Ga 2.91
Ga  0.0000  0.0000  0.0000  4 Sb 2.70, 2 Te 2.91